Material: Pm4Ga16Rh3
Method: DFT, PBE
State: relaxed

Spin magnetization: 0.00 μB/cell
D(E_F): 6.73 states/eV/f.u.
Mass density: 7.63 Mg/m³
Uncorrected energy: -0.1668 Ha/atom

Unit cell a=6.201 b=6.201 c=11.346 alpha=90.00 beta=90.00 gamma=90.00
Sites, in units of the cell vectors:
Pm  0.000  0.500  0.194
Pm  0.000  0.500  0.806
Pm  0.500  0.000  0.194
Pm  0.500  0.000  0.806
Ga  0.000  0.000  0.196
Ga  0.000  0.000  0.804
Ga  0.213  0.213  0.000
Ga  0.213  0.787  0.000
Ga  0.251  0.251  0.382
Ga  0.251  0.251  0.618
Ga  0.251  0.749  0.382
Ga  0.251  0.749  0.618
Ga  0.500  0.500  0.224
Ga  0.500  0.500  0.776
Ga  0.749  0.251  0.382
Ga  0.749  0.251  0.618
Ga  0.749  0.749  0.382
Ga  0.749  0.749  0.618
Ga  0.787  0.213  0.000
Ga  0.787  0.787  0.000
Rh  0.000  0.500  0.500
Rh  0.500  0.000  0.500
Rh  0.500  0.500  0.000


Material: ZrTa2C
Method: DFT, PBE
State: relaxed

Spin magnetization: 0.00 μB/cell
D(E_F): 1.73 states/eV/f.u.
Mass density: 11.80 Mg/m³
Uncorrected energy: -0.3899 Ha/atom

Unit cell a=3.101 b=5.097 c=5.097 alpha=54.35 beta=90.00 gamma=90.00
Sites, in units of the cell vectors:
Zr  0.000  0.000  0.000
Ta  0.000  0.336  0.336
Ta  0.500  0.674  0.674
C  0.500  0.177  0.177


Material: KSeS
Method: DFT, PBE
State: relaxed

Spin magnetization: 0.00 μB/cell
D(E_F): 0.93 states/eV/f.u.
Mass density: 2.40 Mg/m³
E_form (uncorrected): -0.55 eV per atom
Uncorrected energy: -0.1271 Ha/atom

Unit cell a=6.249 b=5.896 c=6.252 alpha=90.00 beta=115.63 gamma=90.00
Sites, in units of the cell vectors:
K  0.209  0.250  0.405
K  0.791  0.750  0.595
Se  0.240  0.750  0.106
Se  0.760  0.250  0.894
S  0.090  0.250  0.862
S  0.910  0.750  0.138


D(E_F) of number 2 (ZrTa2C)?
1.73 states/eV/f.u.


Copy entry 1 word for word.
Material: Pm4Ga16Rh3
Method: DFT, PBE
State: relaxed

Spin magnetization: 0.00 μB/cell
D(E_F): 6.73 states/eV/f.u.
Mass density: 7.63 Mg/m³
Uncorrected energy: -0.1668 Ha/atom

Unit cell a=6.201 b=6.201 c=11.346 alpha=90.00 beta=90.00 gamma=90.00
Sites, in units of the cell vectors:
Pm  0.000  0.500  0.194
Pm  0.000  0.500  0.806
Pm  0.500  0.000  0.194
Pm  0.500  0.000  0.806
Ga  0.000  0.000  0.196
Ga  0.000  0.000  0.804
Ga  0.213  0.213  0.000
Ga  0.213  0.787  0.000
Ga  0.251  0.251  0.382
Ga  0.251  0.251  0.618
Ga  0.251  0.749  0.382
Ga  0.251  0.749  0.618
Ga  0.500  0.500  0.224
Ga  0.500  0.500  0.776
Ga  0.749  0.251  0.382
Ga  0.749  0.251  0.618
Ga  0.749  0.749  0.382
Ga  0.749  0.749  0.618
Ga  0.787  0.213  0.000
Ga  0.787  0.787  0.000
Rh  0.000  0.500  0.500
Rh  0.500  0.000  0.500
Rh  0.500  0.500  0.000


spin magnetization of number 2 (ZrTa2C)?
0.00 μB/cell